An optimized crystal structure of TaReSi3. Source: Alexandria via LeMat-Bulk, functional GGA-PBE.

Total energy, eV/cell: -34.7
DOS(E_F), states/eV per cell: 10.0
Raw formation energy, meV/atom: 1183

The structure in POSCAR format:
```
TaReSi3
1.0
4.607 0.000 0.000
0.000 4.607 0.000
0.000 0.000 4.607
Re Si Ta
1 3 1
Cartesian
0.000 0.000 0.000 Re
2.303 0.000 0.000 Si
0.000 2.303 0.000 Si
0.000 0.000 2.303 Si
2.303 2.303 2.303 Ta
```

An optimized crystal structure of Mg2CoMo. Source: Alexandria via LeMat-Bulk, functional GGA-PBE.

Total energy, eV/cell: -18.9
ΔE_f, eV/f.u.: 2.19
DOS(E_F), states/eV per cell: 5.0

The structure in POSCAR format:
```
Mg2CoMo
1.0
-1.418 2.150 4.121
-4.394 -2.025 -0.456
0.854 -2.175 1.429
Co Mg Mo
1 2 1
Cartesian
-1.770 -2.100 0.487 Co
0.000 0.000 0.000 Mg
-2.906 0.063 1.832 Mg
-0.282 -0.013 2.775 Mo
```

An optimized crystal structure of ZrScCd2. Source: Alexandria via LeMat-Bulk, functional GGA-PBE.

Total energy, eV/cell: -16.9
ΔE_f, eV/f.u.: -0.22
DOS(E_F), states/eV per cell: 4.7

The structure in POSCAR format:
```
ZrScCd2
1.0
10.399 0.008 0.005
9.898 3.188 0.005
9.898 1.558 2.781
Sc Zr Cd
1 1 2
Cartesian
15.087 2.375 1.394 Sc
22.686 3.571 2.096 Zr
30.192 4.753 2.789 Cd
7.525 1.185 0.695 Cd
```

An optimized crystal structure of Cu5Hg3I12. Source: Alexandria via LeMat-Bulk, functional GGA-PBE.

Total energy, eV/cell: -164.6
DOS(E_F), states/eV per cell: 25.4
Raw formation energy, meV/atom: -58

The structure in POSCAR format:
```
Cu5Hg3I12
1.0
-8.400 -11.634 5.828
14.930 -4.100 -0.386
-1.678 12.551 8.917
I Cu Hg
48 20 12
Cartesian
2.070 -7.924 5.208 I
5.591 -6.842 3.797 I
8.333 5.772 5.786 I
0.429 -2.565 5.543 I
-1.997 6.349 6.963 I
-0.738 3.659 10.563 I
-0.705 -1.339 12.569 I
5.557 -1.844 1.790 I
6.849 -9.532 7.397 I
10.411 2.078 9.109 I
-8.206 0.581 12.745 I
8.426 -3.046 9.248 I
-3.197 -5.176 9.315 I
12.056 0.577 3.114 I
5.025 3.909 6.491 I
2.460 2.101 12.063 I
3.425 -4.134 7.571 I
4.134 -1.314 5.030 I
-3.574 -0.137 5.111 I
-3.925 -1.746 8.604 I
-5.559 -5.261 5.251 I
7.766 -5.150 6.078 I
-1.114 9.996 9.795 I
8.049 1.993 5.045 I
5.966 -13.179 4.565 I
8.471 5.138 10.443 I
0.791 -12.058 7.046 I
13.058 -3.764 1.614 I
4.285 -7.175 9.248 I
6.746 1.689 10.261 I
-3.601 1.112 13.288 I
4.061 8.875 7.313 I
-0.173 -7.092 7.868 I
1.907 1.063 1.687 I
-3.619 -8.321 3.917 I
0.718 -1.869 9.330 I
2.782 4.741 9.151 I
8.777 -1.437 5.756 I
1.427 0.951 6.788 I
8.453 -4.295 1.072 I
2.392 -5.284 2.296 I
-3.481 -8.955 8.573 I
-2.914 1.967 8.281 I
-1.894 -4.872 4.099 I
0.567 3.992 5.112 I
4.423 -0.618 8.817 I
-7.204 -3.760 11.245 I
2.945 -4.246 12.672 I
-5.902 1.744 12.125 Cu
0.373 -3.819 3.204 Cu
7.465 -2.050 -0.193 Cu
4.479 0.636 11.156 Cu
2.402 -6.581 7.474 Cu
-0.839 6.276 4.459 Cu
10.754 -4.927 2.234 Cu
7.394 -7.721 5.534 Cu
-2.542 4.538 8.825 Cu
0.000 0.000 0.000 Cu
-4.666 -3.360 10.576 Cu
3.265 -7.867 2.721 Cu
2.426 -1.591 7.180 Cu
6.626 4.225 4.266 Cu
-5.039 0.459 7.373 Cu
0.723 -3.329 11.546 Cu
-4.200 -5.817 2.914 Cu
2.450 3.398 6.886 Cu
4.129 0.146 2.813 Cu
9.518 0.177 3.783 Cu
3.638 -11.686 5.925 Hg
10.755 4.371 7.079 Hg
-0.911 -8.694 5.341 Hg
6.999 0.407 7.470 Hg
5.715 -4.469 9.607 Hg
-0.910 0.605 10.186 Hg
-0.863 1.286 4.753 Hg
-2.147 -3.590 6.890 Hg
5.762 -3.788 4.174 Hg
5.763 5.511 9.019 Hg
-5.903 -7.554 7.280 Hg
1.214 8.503 8.435 Hg
```

An optimized crystal structure of KLiPb2. Source: Alexandria via LeMat-Bulk, functional GGA-PBE.

Total energy, eV/cell: -11.0
ΔE_f, eV/f.u.: -0.61
DOS(E_F), states/eV per cell: 0.8

The structure in POSCAR format:
```
KLiPb2
1.0
-0.410 4.627 -1.047
-3.113 0.148 1.873
2.184 1.807 7.127
K Pb Li
1 2 1
Cartesian
-0.437 2.802 1.726 K
-0.894 1.813 8.356 Pb
-0.499 1.120 5.143 Pb
-0.901 3.780 6.226 Li
```

An optimized crystal structure of Nb2CrS4. Source: Alexandria via LeMat-Bulk, functional GGA-PBE.

Total energy, eV/cell: -99.9
DOS(E_F), states/eV per cell: 10.7
Raw formation energy, meV/atom: -525

The structure in POSCAR format:
```
Nb2CrS4
1.0
6.466 0.000 0.374
0.000 6.575 0.000
-1.959 0.000 6.144
S Nb Cr
8 4 2
Cartesian
-0.979 1.644 3.918 S
2.780 3.319 1.739 S
-0.197 1.644 0.791 S
1.727 0.031 4.780 S
2.780 6.544 1.739 S
5.486 4.932 2.600 S
4.704 4.932 5.727 S
1.727 3.257 4.780 S
4.385 4.932 0.399 Nb
0.122 1.644 6.120 Nb
1.175 1.644 2.751 Nb
3.332 4.932 3.767 Nb
1.155 4.932 1.333 Cr
3.352 1.644 5.185 Cr
```

An optimized crystal structure of NbIn2Ag. Source: Alexandria via LeMat-Bulk, functional GGA-PBE.

Total energy, eV/cell: -18.1
ΔE_f, eV/f.u.: 0.29
DOS(E_F), states/eV per cell: 1.4

The structure in POSCAR format:
```
NbIn2Ag
1.0
3.015 0.000 0.000
0.000 3.015 0.000
0.000 0.000 8.801
In Ag Nb
2 1 1
Cartesian
0.000 0.000 6.583 In
0.000 0.000 2.218 In
1.508 1.508 0.000 Ag
1.508 1.508 4.401 Nb
```

An optimized crystal structure of LaDy3Ho2Er6. Source: Alexandria via LeMat-Bulk, functional GGA-PBE.

Total energy, eV/cell: -55.0
ΔE_f, eV/f.u.: 0.27
DOS(E_F), states/eV per cell: 15.6

The structure in POSCAR format:
```
LaDy3Ho2Er6
1.0
-4.215 -3.300 -2.983
1.702 -1.607 5.664
-7.498 8.302 3.505
La Ho Dy Er
1 2 3 6
Cartesian
0.000 0.000 0.000 La
-0.271 -2.172 2.781 Ho
-2.242 -2.736 -0.101 Ho
-5.006 1.697 3.093 Dy
-6.976 1.134 0.213 Dy
-3.036 2.261 5.972 Dy
-6.498 2.820 6.074 Er
-6.237 4.980 3.293 Er
-8.478 2.253 3.180 Er
-1.533 1.141 3.005 Er
-3.513 0.575 0.112 Er
-3.774 -1.585 2.893 Er
```

An optimized crystal structure of LiCeH6Rh. Source: Alexandria via LeMat-Bulk, functional GGA-PBE.

Total energy, eV/cell: -38.8
DOS(E_F), states/eV per cell: 6.5

The structure in POSCAR format:
```
LiCeH6Rh
1.0
-1.203 -1.578 4.077
-4.059 -1.936 0.574
1.738 -3.945 -1.014
H Rh Li Ce
6 1 1 1
Cartesian
-1.609 -1.897 0.125 H
-0.680 -4.008 -0.417 H
-0.265 -1.729 1.774 H
-2.176 -2.640 2.043 H
-1.245 -4.750 1.502 H
0.664 -3.839 1.231 H
-0.885 -3.144 1.043 Rh
-2.639 -4.315 2.593 Li
0.535 -5.523 3.063 Ce
```

An optimized crystal structure of NaLi2IrF6. Source: Alexandria via LeMat-Bulk, functional GGA-PBE.

Total energy, eV/cell: -45.3
DOS(E_F), states/eV per cell: 0.0
Raw formation energy, meV/atom: -2008

The structure in POSCAR format:
```
NaLi2IrF6
1.0
4.151 4.163 0.301
-0.077 3.921 4.391
4.097 -0.228 4.222
Li Na Ir F
2 1 1 6
Cartesian
2.043 1.964 2.228 Li
6.128 5.893 6.685 Li
4.086 3.928 4.457 Na
0.000 0.000 0.000 Ir
4.052 3.807 6.602 F
6.234 3.932 4.491 F
4.091 1.784 4.336 F
4.080 6.073 4.578 F
4.119 4.050 2.312 F
1.938 3.925 4.423 F
```

An optimized crystal structure of LaOs2Ru. Source: Alexandria via LeMat-Bulk, functional GGA-PBE.

Total energy, eV/cell: -34.6
ΔE_f, eV/f.u.: 2.05
DOS(E_F), states/eV per cell: 4.2

The structure in POSCAR format:
```
LaOs2Ru
1.0
-3.509 -3.510 2.967
1.756 -2.447 4.936
-1.271 4.686 -3.141
Os Ru La
2 1 1
Cartesian
-2.831 -0.910 1.900 Os
-1.698 -5.773 7.658 Os
-0.928 -3.153 4.183 Ru
-0.196 -0.371 2.875 La
```

An optimized crystal structure of CaY2Sb. Source: Alexandria via LeMat-Bulk, functional GGA-PBE.

Total energy, eV/cell: -20.3
DOS(E_F), states/eV per cell: 3.2
Raw formation energy, meV/atom: -300

The structure in POSCAR format:
```
CaY2Sb
1.0
-5.843 -2.278 0.617
2.629 -0.140 -5.948
0.874 -3.342 -0.356
Y Sb Ca
2 1 1
Cartesian
0.000 0.000 0.000 Y
-2.484 -2.810 0.130 Y
-1.607 -1.209 -2.665 Sb
1.752 -1.741 -3.152 Ca
```

An optimized crystal structure of VIn3S. Source: Alexandria via LeMat-Bulk, functional GGA-PBE.

Total energy, eV/cell: -18.4
DOS(E_F), states/eV per cell: 6.8
Raw formation energy, meV/atom: 607

The structure in POSCAR format:
```
VIn3S
1.0
5.313 0.000 0.000
0.000 5.313 0.000
0.000 0.000 5.313
V S In
1 1 3
Cartesian
0.000 0.000 0.000 V
2.656 2.656 2.656 S
0.000 0.000 2.656 In
2.656 0.000 0.000 In
0.000 2.656 0.000 In
```

An optimized crystal structure of Cs3LiTh2Te6. Source: Alexandria via LeMat-Bulk, functional GGA-PBE.

Total energy, eV/cell: -52.6
DOS(E_F), states/eV per cell: 0.0
Raw formation energy, meV/atom: -1205

The structure in POSCAR format:
```
Cs3LiTh2Te6
1.0
8.088 -0.004 0.005
-4.045 7.003 0.005
-1.343 -2.326 8.894
Cs Te Li Th
3 6 1 2
Cartesian
1.350 2.337 4.452 Cs
-2.757 4.709 4.452 Cs
5.456 -0.035 4.452 Cs
2.779 -0.001 1.714 Te
-0.080 4.675 7.190 Te
0.036 0.063 7.216 Te
2.663 4.611 1.688 Te
4.089 2.267 7.190 Te
-1.390 2.407 1.714 Te
0.000 0.000 0.000 Li
-0.007 4.671 0.005 Th
4.049 2.329 0.005 Th
```

An optimized crystal structure of Mn2CrAg. Source: Alexandria via LeMat-Bulk, functional GGA-PBE.

Total energy, eV/cell: -29.1
ΔE_f, eV/f.u.: 1.74
DOS(E_F), states/eV per cell: 2.8

The structure in POSCAR format:
```
Mn2CrAg
1.0
-1.260 -2.460 0.990
-1.103 -1.250 -4.510
2.992 -2.928 -3.470
Mn Ag Cr
2 1 1
Cartesian
-1.181 -1.855 -1.760 Mn
0.000 0.000 0.000 Mn
0.315 -3.319 -3.495 Ag
1.496 -1.464 -1.735 Cr
```

An optimized crystal structure of Nd3TlCd2. Source: Alexandria via LeMat-Bulk, functional GGA-PBE.

Total energy, eV/cell: -20.5
ΔE_f, eV/f.u.: -2.03
DOS(E_F), states/eV per cell: 7.9

The structure in POSCAR format:
```
Nd3TlCd2
1.0
-0.750 3.686 0.948
-5.339 -1.150 0.246
3.446 -1.321 7.866
Cd Nd Tl
2 3 1
Cartesian
0.512 -1.252 5.274 Cd
-2.406 -1.219 2.838 Cd
-3.045 1.268 0.597 Nd
-0.116 1.209 3.146 Nd
-2.528 0.006 5.914 Nd
0.000 0.000 0.000 Tl
```

An optimized crystal structure of Nd6PIr2I3. Source: Alexandria via LeMat-Bulk, functional GGA-PBE.

Total energy, eV/cell: -69.2
DOS(E_F), states/eV per cell: 1.9
Raw formation energy, meV/atom: -1066

The structure in POSCAR format:
```
Nd6PIr2I3
1.0
-6.526 -3.310 -0.818
3.093 0.436 6.668
-2.573 7.944 -0.670
Nd P Ir I
6 1 2 3
Cartesian
-2.947 -0.591 4.082 Nd
-6.374 3.620 2.660 Nd
-3.081 4.903 5.223 Nd
-2.925 0.167 -0.044 Nd
-3.059 5.660 1.098 Nd
0.368 1.450 2.520 Nd
0.000 0.000 0.000 P
-3.322 -2.062 1.675 Ir
-0.112 -0.812 4.174 Ir
0.227 3.793 5.104 I
-3.003 2.535 2.590 I
-6.233 1.277 0.076 I
```

An optimized crystal structure of CdNi6. Source: Alexandria via LeMat-Bulk, functional GGA-PBE.

Total energy, eV/cell: -29.6
ΔE_f, eV/f.u.: 6.02
DOS(E_F), states/eV per cell: 7.2

The structure in POSCAR format:
```
CdNi6
1.0
5.363 0.000 0.000
-1.788 5.056 0.000
-1.788 -2.528 4.379
Cd Ni
1 6
Cartesian
0.000 0.000 0.000 Cd
0.894 -0.632 3.284 Ni
0.894 3.160 1.095 Ni
2.682 1.896 1.095 Ni
-0.894 2.528 2.189 Ni
-0.894 0.632 3.284 Ni
2.682 0.000 2.189 Ni
```